[1]
{
  "formula": "RbSr2CaS",
  "functional": "GGA-PBEsol",
  "state": "optimized geometry",
  "lattice": [[6.3424, 0.0000, 0.0000], [0.0000, 6.3424, 0.0000], [0.0000, 0.0000, 5.8430]],
  "species": ["Rb", "Sr", "Sr", "Ca", "S"],
  "frac_coords": [[0.0000, 0.0000, 0.0000], [0.0000, 0.5000, 0.0000], [0.5000, 0.0000, 0.0000], [0.0000, 0.0000, 0.5000], [0.5000, 0.5000, 0.5000]],
  "e_form_raw_kj_per_mol_fu": 477,
  "sg": "No. 123",
  "total_energy_ev_per_fu": -6.3,
  "rho_g_cm3": 2.35,
  "total_magnetization_mub_per_atom": 0.60
}



[2]
{
  "formula": "Bi2Te2Br",
  "functional": "GGA-PBEsol",
  "state": "optimized geometry",
  "lattice": [[-2.9096, 2.9096, 5.0084], [2.9096, -2.9096, 5.0084], [2.9096, 2.9096, -5.0084]],
  "species": ["Bi", "Bi", "Te", "Te", "Br"],
  "frac_coords": [[0.1565, 0.1565, 0.0000], [0.8435, 0.8435, 0.0000], [0.2500, 0.7500, 0.5000], [0.7500, 0.2500, 0.5000], [0.5000, 0.5000, 0.0000]],
  "e_form_raw_kj_per_mol_fu": -64,
  "sg": "No. 139",
  "total_energy_ev_per_fu": -18.2,
  "rho_g_cm3": 7.37,
  "total_magnetization_mub_per_atom": 0.00
}



[3]
{
  "formula": "NiSe",
  "functional": "GGA-PBEsol",
  "state": "optimized geometry",
  "lattice": [[0.0000, 3.0721, 3.0721], [3.0721, 0.0000, 3.0721], [3.0721, 3.0721, 0.0000]],
  "species": ["Ni", "Ni", "Se", "Se"],
  "frac_coords": [[0.1250, 0.1250, 0.1250], [0.8750, 0.8750, 0.8750], [0.3750, 0.3750, 0.3750], [0.6250, 0.6250, 0.6250]],
  "e_form_raw_kj_per_mol_fu": 103,
  "sg": "No. 227",
  "total_energy_ev_per_fu": -8.9,
  "rho_g_cm3": 7.88,
  "total_magnetization_mub_per_atom": 0.00
}



[4]
{
  "formula": "Zr2CdP",
  "functional": "GGA-PBEsol",
  "state": "optimized geometry",
  "lattice": [[3.1593, -1.7505, 0.0000], [3.1593, 1.7505, 0.0000], [-1.7977, 0.0000, 7.3750]],
  "species": ["Zr", "Zr", "Cd", "P"],
  "frac_coords": [[0.2279, 0.2279, 0.1974], [0.7721, 0.7721, 0.8026], [0.0000, 0.0000, 0.5000], [0.5000, 0.5000, 0.0000]],
  "polymorph_energy_ev_per_fu": 0.00,
  "sg": "No. 12",
  "total_energy_ev_per_fu": -28.3,
  "rho_g_cm3": 6.63,
  "total_magnetization_mub_per_atom": 0.00
}



[5]
{
  "formula": "NiRhPb2",
  "functional": "GGA-PBEsol",
  "state": "optimized geometry",
  "lattice": [[4.0357, 0.0000, 0.0000], [0.0000, 1.8017, 5.0988], [0.0000, -1.8017, 5.0988]],
  "species": ["Ni", "Rh", "Pb", "Pb"],
  "frac_coords": [[0.0000, 0.0000, 0.0000], [0.5000, 0.8456, 0.8456], [0.0000, 0.2700, 0.2700], [0.5000, 0.5626, 0.5626]],
  "polymorph_energy_ev_per_fu": 0.00,
  "sg": "No. 38",
  "total_energy_ev_per_fu": -22.1,
  "rho_g_cm3": 12.90,
  "total_magnetization_mub_per_atom": 0.00
}



[6]
{
  "formula": "CrSb2TeRu",
  "functional": "GGA-PBEsol",
  "state": "optimized geometry",
  "lattice": [[4.9064, 0.0000, 0.0000], [0.0000, 4.9064, 0.0000], [0.0000, 0.0000, 5.5756]],
  "species": ["Cr", "Sb", "Sb", "Te", "Ru"],
  "frac_coords": [[0.0000, 0.0000, 0.0000], [0.0000, 0.5000, 0.5000], [0.5000, 0.0000, 0.5000], [0.5000, 0.5000, 0.0000], [0.5000, 0.5000, 0.5000]],
  "e_form_raw_kj_per_mol_fu": 388,
  "polymorph_energy_ev_per_fu": 0.00,
  "sg": "No. 123",
  "total_energy_ev_per_fu": -29.0,
  "rho_g_cm3": 6.49,
  "total_magnetization_mub_per_atom": 0.85
}



[7]
{
  "formula": "TiReSn2I",
  "functional": "GGA-PBEsol",
  "state": "optimized geometry",
  "lattice": [[5.1800, 0.0000, 0.0000], [0.0000, 5.1800, 0.0000], [0.0000, 0.0000, 4.8734]],
  "species": ["Ti", "Re", "Sn", "Sn", "I"],
  "frac_coords": [[0.0000, 0.0000, 0.0000], [0.0000, 0.0000, 0.5000], [0.0000, 0.5000, 0.5000], [0.5000, 0.0000, 0.5000], [0.5000, 0.5000, 0.0000]],
  "e_form_raw_kj_per_mol_fu": 174,
  "sg": "No. 123",
  "total_energy_ev_per_fu": -30.1,
  "rho_g_cm3": 7.60,
  "total_magnetization_mub_per_atom": 0.15
}



[8]
{
  "formula": "Cd2MoRu",
  "functional": "GGA-PBEsol",
  "state": "optimized geometry",
  "lattice": [[3.1200, 0.0000, 0.0000], [0.0000, 4.4430, 0.0000], [0.0000, 0.0000, 4.7701]],
  "species": ["Cd", "Cd", "Mo", "Ru"],
  "frac_coords": [[0.0000, 0.0000, 0.0000], [0.5000, 0.5000, 0.0000], [0.0000, 0.5000, 0.5000], [0.5000, 0.0000, 0.5000]],
  "sg": "No. 47",
  "total_energy_ev_per_fu": -22.4,
  "rho_g_cm3": 10.59,
  "total_magnetization_mub_per_atom": 0.00
}